Computed, not measured: Ba2CaCu2MoO8 after structural relaxation at the GGA+U level of DFT.

The value obtained for the total energy is -87.40 eV per cell.

```
data_Ba2CaCu2MoO8
_chemical_formula_sum 'Ba2 Ca1 Cu2 Mo1 O8'
_symmetry_space_group_name_H-M 'P 1'
_symmetry_Int_Tables_number 1
_cell_length_a 3.927
_cell_length_b 3.927
_cell_length_c 12.412
_cell_angle_alpha 90.00
_cell_angle_beta 90.00
_cell_angle_gamma 90.00
loop_
_symmetry_equiv_pos_as_xyz
'x,y,z'
loop_
_atom_site_label
_atom_site_fract_x
_atom_site_fract_y
_atom_site_fract_z
Ba1 0.000 0.000 0.213
Ba2 0.000 0.000 0.787
Ca1 0.000 0.000 0.500
Cu1 0.500 0.500 0.378
Cu2 0.500 0.500 0.622
Mo1 0.500 0.500 0.000
O1 0.000 0.500 0.000
O2 0.000 0.500 0.374
O3 0.000 0.500 0.626
O4 0.500 0.000 0.000
O5 0.500 0.000 0.374
O6 0.500 0.000 0.626
O7 0.500 0.500 0.154
O8 0.500 0.500 0.846
```